1.
YRe2Pb | PBE | optimized geometry

Cell lengths 7.919, 7.919, 6.269 Å; angles 50.83, 50.83, 90.00 degrees
Site moments in Bohr magnetons follow the coordinates.
Fractional coordinates of all 8 atoms:
Re 0.647 0.125 0.250  0.52
Re 0.875 0.897 0.750  0.52
Re 0.375 0.353 0.750  0.52
Re 0.103 0.625 0.250  0.52
Y 0.500 0.500 0.000  -0.02
Y 0.250 0.750 0.500  -0.02
Pb 0.000 0.000 0.000  -0.01
Pb 0.750 0.250 0.500  -0.01

Summary:
The calculation puts the electronic total energy at -7.46 eV per atom. The value obtained for the volume is 88 Å³/f.u.



2.
TbZn4Cu2 | PBE | optimized geometry

Cell lengths 3.903, 3.980, 7.703 Å; angles 104.97, 90.00, 90.00 degrees
Fractional coordinates of all 7 atoms:
Zn 0.000 0.314 0.629
Zn 0.000 0.686 0.371
Zn 0.500 0.184 0.367
Zn 0.500 0.816 0.633
Tb 0.000 0.000 0.000
Cu 0.500 0.581 0.161
Cu 0.500 0.419 0.839

Summary:
The calculation puts the electronic total energy at -2.78 eV per atom. The calculation puts the energy above the most stable polymorph in this dataset at 15 meV/atom. The value obtained for the volume is 116 Å³/f.u.



3.
MgCu9Se2 | PBE | optimized geometry

Cell lengths 8.828, 8.842, 8.841 Å; angles 32.27, 32.33, 32.33 degrees
Fractional coordinates of all 12 atoms:
Cu 0.500 0.500 0.500
Cu 0.417 0.417 0.918
Cu 0.082 0.582 0.582
Cu 0.583 0.082 0.583
Cu 0.417 0.918 0.417
Cu 0.333 0.332 0.332
Cu 0.667 0.668 0.668
Cu 0.583 0.583 0.082
Cu 0.918 0.418 0.418
Se 0.124 0.124 0.124
Se 0.876 0.876 0.876
Mg 0.000 0.000 0.000

Summary:
Its energy relative to the elements, uncorrected is 5.4 kJ/mol of atoms. The calculation puts the electronic total energy at -3.73 eV per atom. The value obtained for the volume is 175 Å³/f.u.



4.
MgBe2Zn | PBE | optimized geometry

Cell lengths 3.836, 2.831, 4.994 Å; angles 72.81, 90.00, 90.00 degrees
Fractional coordinates of all 4 atoms:
Mg 0.000 0.453 0.459
Be 0.000 0.191 0.000
Be 0.500 0.072 0.231
Zn 0.500 0.784 0.810

Summary:
The calculation puts the electronic total energy at -2.36 eV per atom. The calculation puts the energy above the most stable polymorph in this dataset at 6 meV/atom. The value obtained for the volume is 52 Å³/f.u.



5.
BaRh2S3 | PBE | optimized geometry

Cell lengths 5.360, 8.817, 7.275 Å; angles 127.30, 90.00, 90.00 degrees
Fractional coordinates of all 12 atoms:
S 0.250 0.568 0.722
S 0.250 0.154 0.722
S 0.750 0.432 0.278
S 0.250 0.099 0.197
S 0.750 0.901 0.803
S 0.750 0.846 0.278
Rh 0.500 0.172 0.000
Rh 0.000 0.828 0.000
Rh 0.500 0.828 0.000
Rh 0.000 0.172 0.000
Ba 0.250 0.698 0.396
Ba 0.750 0.302 0.604

Summary:
Its energy relative to the elements, uncorrected is -78.1 kJ/mol of atoms. The calculation puts the electronic total energy at -5.64 eV per atom. The value obtained for the volume is 137 Å³/f.u.



6.
LiCeHg6 | PBE | optimized geometry

Cell lengths 5.074, 6.710, 6.710 Å; angles 119.93, 90.00, 90.00 degrees
Site moments in Bohr magnetons follow the coordinates.
Fractional coordinates of all 8 atoms:
Hg 0.000 0.094 0.421  0.01
Hg 0.000 0.577 0.423  0.01
Hg 0.500 0.912 0.088  0.01
Hg 0.500 0.428 0.089  0.01
Hg 0.000 0.579 0.906  0.01
Hg 0.500 0.911 0.572  0.01
Ce 0.000 0.084 0.916  0.97
Li 0.500 0.414 0.586  0.00

Summary:
The calculation puts the electronic total energy at -1.43 eV per atom. The calculation puts the energy above the most stable polymorph in this dataset at 17 meV/atom. The value obtained for the volume is 198 Å³/f.u.



7.
InTc2 | PBE | optimized geometry

Cell lengths 4.439, 4.439, 2.969 Å; angles 90.00, 90.00, 120.00 degrees
Fractional coordinates of all 3 atoms:
Tc 0.333 0.667 0.500
Tc 0.667 0.333 0.500
In 0.000 0.000 0.000

Summary:
The calculation puts the electronic total energy at -7.46 eV per atom. The value obtained for the volume is 51 Å³/f.u.



8.
PuGaAgSn | PBE | optimized geometry

Cell lengths 5.055, 5.055, 5.055 Å; angles 60.00, 60.00, 60.00 degrees
Site moments in Bohr magnetons follow the coordinates.
Fractional coordinates of all 4 atoms:
Ga 0.000 0.000 0.000  0.00
Sn 0.750 0.750 0.750  0.06
Pu 0.500 0.500 0.500  5.43
Ag 0.250 0.250 0.250  0.02

Summary:
The calculation puts the electronic total energy at -6.09 eV per atom. The value obtained for the volume is 91 Å³/f.u.